Record 1
Entry from Alexandria via LeMat-Bulk: a crystal of TaAl2Mo relaxed with PBEsol (SCAN).

Lattice parameters (Å, degrees): 2.850 2.850 9.266 81.15 81.15 60.00
Positions (direct):
Mo: 0.000 0.000 0.000
Al: 0.252 0.252 0.243
Al: 0.748 0.748 0.757
Ta: 0.500 0.500 0.500

Energy above the most stable polymorph in this dataset   0.216 eV/atom

Record 2
Entry from Alexandria via LeMat-Bulk: a crystal of Tb6Al43Mo4 relaxed with PBEsol (SCAN).

Lattice parameters (Å, degrees): 10.921 10.921 17.634 90.00 90.00 120.00
Positions (direct):
Tb: 0.531 0.531 0.595
Tb: 0.000 0.469 0.595
Tb: 0.469 0.000 0.595
Tb: 0.469 0.469 0.405
Tb: 0.000 0.531 0.405
Tb: 0.531 0.000 0.405
Tb: 0.469 0.469 0.095
Tb: 0.000 0.531 0.095
Tb: 0.531 0.000 0.095
Tb: 0.531 0.531 0.905
Tb: 0.000 0.469 0.905
Tb: 0.469 0.000 0.905
Al: 0.764 0.157 0.664
Al: 0.394 0.236 0.664
Al: 0.843 0.606 0.664
Al: 0.157 0.764 0.664
Al: 0.236 0.394 0.664
Al: 0.606 0.843 0.664
Al: 0.236 0.843 0.336
Al: 0.606 0.764 0.336
Al: 0.157 0.394 0.336
Al: 0.843 0.236 0.336
Al: 0.764 0.606 0.336
Al: 0.394 0.157 0.336
Al: 0.236 0.843 0.164
Al: 0.606 0.764 0.164
Al: 0.157 0.394 0.164
Al: 0.843 0.236 0.164
Al: 0.764 0.606 0.164
Al: 0.394 0.157 0.164
Al: 0.764 0.157 0.836
Al: 0.394 0.236 0.836
Al: 0.843 0.606 0.836
Al: 0.157 0.764 0.836
Al: 0.236 0.394 0.836
Al: 0.606 0.843 0.836
Al: 0.159 0.159 0.115
Al: 0.000 0.841 0.115
Al: 0.841 0.000 0.115
Al: 0.841 0.841 0.885
Al: 0.000 0.159 0.885
Al: 0.159 0.000 0.885
Al: 0.841 0.841 0.615
Al: 0.000 0.159 0.615
Al: 0.159 0.000 0.615
Al: 0.159 0.159 0.385
Al: 0.000 0.841 0.385
Al: 0.841 0.000 0.385
Al: 0.254 0.254 0.530
Al: 0.000 0.746 0.530
Al: 0.746 0.000 0.530
Al: 0.746 0.746 0.470
Al: 0.000 0.254 0.470
Al: 0.254 0.000 0.470
Al: 0.746 0.746 0.030
Al: 0.000 0.254 0.030
Al: 0.254 0.000 0.030
Al: 0.254 0.254 0.970
Al: 0.000 0.746 0.970
Al: 0.746 0.000 0.970
Al: 0.551 0.147 0.750
Al: 0.596 0.449 0.750
Al: 0.853 0.404 0.750
Al: 0.147 0.551 0.750
Al: 0.449 0.596 0.750
Al: 0.404 0.853 0.750
Al: 0.449 0.853 0.250
Al: 0.404 0.551 0.250
Al: 0.147 0.596 0.250
Al: 0.853 0.449 0.250
Al: 0.551 0.404 0.250
Al: 0.596 0.147 0.250
Al: 0.753 0.247 0.500
Al: 0.494 0.247 0.500
Al: 0.753 0.506 0.500
Al: 0.247 0.753 0.500
Al: 0.247 0.494 0.500
Al: 0.506 0.753 0.500
Al: 0.247 0.753 0.000
Al: 0.506 0.753 0.000
Al: 0.247 0.494 0.000
Al: 0.753 0.247 0.000
Al: 0.753 0.506 0.000
Al: 0.494 0.247 0.000
Al: 0.667 0.333 0.626
Al: 0.333 0.667 0.626
Al: 0.333 0.667 0.374
Al: 0.667 0.333 0.374
Al: 0.333 0.667 0.126
Al: 0.667 0.333 0.126
Al: 0.667 0.333 0.874
Al: 0.333 0.667 0.874
Al: 0.147 0.147 0.750
Al: 0.000 0.853 0.750
Al: 0.853 0.000 0.750
Al: 0.853 0.853 0.250
Al: 0.000 0.147 0.250
Al: 0.147 0.000 0.250
Mo: 0.729 0.729 0.750
Mo: 0.000 0.271 0.750
Mo: 0.271 0.000 0.750
Mo: 0.271 0.271 0.250
Mo: 0.000 0.729 0.250
Mo: 0.729 0.000 0.250
Mo: 0.000 0.000 0.500
Mo: 0.000 0.000 0.000

Record 3
Entry from Alexandria via LeMat-Bulk: a crystal of AlTcMo relaxed with PBEsol (SCAN).

Lattice parameters (Å, degrees): 4.183 4.183 4.183 60.00 60.00 60.00
Positions (direct):
Mo: 0.250 0.250 0.250
Tc: 0.000 0.000 0.000
Al: 0.500 0.500 0.500

Energy above the most stable polymorph in this dataset   0.796 eV/atom

Record 4
Entry from Alexandria via LeMat-Bulk: a crystal of AlTc2Mo relaxed with PBEsol (SCAN).

Lattice parameters (Å, degrees): 2.706 4.232 5.113 90.00 101.33 90.00
Positions (direct):
Mo: 0.000 0.500 0.500
Tc: 0.795 0.000 0.757
Tc: 0.205 0.000 0.243
Al: 0.500 0.500 0.000

Record 5
Entry from Alexandria via LeMat-Bulk: a crystal of AlTc2Mo relaxed with PBEsol (SCAN).

Lattice parameters (Å, degrees): 3.066 3.066 6.059 90.00 90.00 90.00
Positions (direct):
Mo: 0.500 0.500 0.500
Tc: 0.000 0.000 0.749
Tc: 0.000 0.000 0.251
Al: 0.500 0.500 0.000

Record 6
Entry from Alexandria via LeMat-Bulk: a crystal of AlTc2Mo relaxed with PBEsol (SCAN).

Lattice parameters (Å, degrees): 3.103 4.200 5.073 114.45 107.81 90.00
Positions (direct):
Mo: 0.257 0.757 0.513
Tc: 0.999 0.999 0.999
Tc: 0.746 0.246 0.492
Al: 0.498 0.498 0.996

Record 7
Entry from Alexandria via LeMat-Bulk: a crystal of AlTcMo relaxed with PBEsol (SCAN).

Lattice parameters (Å, degrees): 3.069 3.069 5.077 107.59 107.59 90.00
Positions (direct):
Mo: 0.676 0.676 0.352
Tc: 0.327 0.327 0.655
Al: 0.997 0.997 0.993

Energy above the most stable polymorph in this dataset   0.000 eV/atom

Record 8
Entry from Alexandria via LeMat-Bulk: a crystal of AlTcMo relaxed with PBEsol (SCAN).

Lattice parameters (Å, degrees): 2.702 2.702 6.644 97.35 97.35 111.76
Positions (direct):
Mo: 0.669 0.669 0.337
Tc: 0.334 0.334 0.667
Al: 0.998 0.998 0.995

Energy above the most stable polymorph in this dataset   0.280 eV/atom

| no. | calculated formation energy (eV/atom) | V (Å³/cell) |
| --- | --- | --- |
| 1 | -0.054 | 64.2 |
| 2 | -0.345 | 1821.3 |
| 3 | 0.383 | 51.8 |
| 4 | -0.209 | 57.4 |
| 5 | -0.334 | 57.0 |
| 6 | -0.345 | 56.7 |
| 7 | -0.413 | 43.2 |
| 8 | -0.133 | 43.9 |